# 1
DFT (PBE) results for an optimized crystal structure of LiYFe2.

formation energy	1.00	eV per formula unit
mass density	5.11	g/cm3
SG	No. 44
V	67	Å³/f.u.
VASP energy	-6.08	eV/atom
ΔE to the lowest computed polymorph	0.103	eV/atom
DOS at the Fermi energy	3.1	states/eV/f.u.

a b c (Å): 3.619 4.554 8.190
angles (deg): 90.00 90.00 90.00
Fractional coordinates of all 8 atoms:
Li  0.000  0.000  0.000
Li  0.500  0.500  0.500
Y  0.000  0.500  0.782
Y  0.500  0.000  0.282
Fe  0.000  0.000  0.552
Fe  0.000  0.500  0.231
Fe  0.500  0.000  0.731
Fe  0.500  0.500  0.052

# 2
DFT (PBE) results for an optimized crystal structure of BaRuRh4S8.

mass density	5.50	g/cm3
SG	No. 160
V	274	Å³/f.u.
VASP energy	-5.70	eV/atom
energy relative to the elements, uncorrected	-6.13	eV per formula unit
DOS at the Fermi energy	12.4	states/eV/f.u.

a b c (Å): 7.083 7.083 7.083
angles (deg): 64.07 64.07 64.07
Fractional coordinates of all 14 atoms:
Ba  0.000  0.000  0.000
Ru  0.454  0.454  0.454
Rh  0.434  0.434  0.948
Rh  0.434  0.948  0.434
Rh  0.809  0.809  0.809
Rh  0.948  0.434  0.434
S  0.201  0.201  0.201
S  0.208  0.689  0.689
S  0.233  0.233  0.604
S  0.233  0.604  0.233
S  0.604  0.233  0.233
S  0.674  0.674  0.674
S  0.689  0.208  0.689
S  0.689  0.689  0.208